# Dy2PuAu

A relaxed structure of Dy2PuAu (GGA-PBE, Alexandria).

Lattice parameters (Å, degrees): 10.2089 10.2089 10.2089 20.28 20.28 20.28
Sites, in units of the cell vectors:
Dy 0.2391 0.2391 0.2391
Dy 0.7609 0.7609 0.7609
Pu 0.0000 0.0000 0.0000
Au 0.5000 0.5000 0.5000

For the total energy, the calculation gives -6.88 eV per atom. As for the space group: R-3m, No. 166. The excess energy over the best structure of this formula in the dataset is 138 meV/atom.

# La3Tb5Pr4

A relaxed structure of La3Tb5Pr4 (GGA-PBE, Alexandria).

Lattice parameters (Å, degrees): 8.7319 8.7319 9.5100 114.56 114.56 40.76
Sites, in units of the cell vectors:
La 0.0000 0.0000 0.0000
La 0.2913 0.2913 0.7721
La 0.7087 0.7087 0.2279
Tb 0.0714 0.0714 0.6967
Tb 0.1720 0.1720 0.3898
Tb 0.5000 0.5000 0.0000
Tb 0.8280 0.8280 0.6102
Tb 0.9286 0.9286 0.3033
Pr 0.2932 0.2932 0.1220
Pr 0.4162 0.4162 0.5566
Pr 0.5838 0.5838 0.4434
Pr 0.7068 0.7068 0.8780

For the total energy, the calculation gives -4.54 eV per atom. As for the space group: C2/m, No. 12. The excess energy over the best structure of this formula in the dataset is 194 meV/atom.

# Tb2DyUO8

A relaxed structure of Tb2DyUO8 (GGA-PBE, Alexandria).

Lattice parameters (Å, degrees): 3.8665 5.3497 7.5516 90.00 90.00 90.00
Sites, in units of the cell vectors:
Tb 0.0000 0.0000 0.2496
Tb 0.0000 0.0000 0.7504
Dy 0.5000 0.5000 0.0000
U 0.5000 0.5000 0.5000
O 0.0000 0.2506 0.0000
O 0.0000 0.2691 0.5000
O 0.0000 0.7309 0.5000
O 0.0000 0.7494 0.0000
O 0.5000 0.2599 0.2717
O 0.5000 0.2599 0.7283
O 0.5000 0.7401 0.2717
O 0.5000 0.7401 0.7283

Its formation energy from raw total energies is -3279 meV per atom. For the total energy, the calculation gives -8.68 eV per atom. As for the space group: Pmmm, No. 47.

# Li5GePd2

A relaxed structure of Li5GePd2 (GGA-PBE, Alexandria).

Lattice parameters (Å, degrees): 5.5322 11.1564 3.7860 90.00 90.00 90.00
Sites, in units of the cell vectors:
Li 0.0000 0.0000 0.0000
Li 0.0269 0.2541 0.0000
Li 0.2270 0.8704 0.5000
Li 0.2730 0.3704 0.5000
Li 0.4731 0.7541 0.0000
Li 0.5000 0.5000 0.0000
Li 0.5269 0.2459 0.0000
Li 0.7270 0.6296 0.5000
Li 0.7730 0.1296 0.5000
Li 0.9731 0.7459 0.0000
Ge 0.0000 0.5000 0.0000
Ge 0.5000 0.0000 0.0000
Pd 0.2185 0.6136 0.5000
Pd 0.2815 0.1136 0.5000
Pd 0.7185 0.8864 0.5000
Pd 0.7815 0.3864 0.5000

For the total energy, the calculation gives -3.47 eV per atom. As for the space group: Pbam, No. 55. The excess energy over the best structure of this formula in the dataset is 0 meV/atom.

# Mg3IO6

A relaxed structure of Mg3IO6 (GGA-PBE, Alexandria).

Lattice parameters (Å, degrees): 6.2214 6.2214 6.2214 89.69 89.69 89.69
Sites, in units of the cell vectors:
Mg 0.0345 0.7527 0.5653
Mg 0.2473 0.4347 0.9655
Mg 0.4347 0.9655 0.2473
Mg 0.5653 0.0345 0.7527
Mg 0.7527 0.5653 0.0345
Mg 0.9655 0.2473 0.4347
I 0.0000 0.0000 0.0000
I 0.5000 0.5000 0.5000
O 0.0457 0.6831 0.8919
O 0.1081 0.9543 0.3169
O 0.2027 0.4503 0.5513
O 0.3169 0.1081 0.9543
O 0.4487 0.7973 0.5497
O 0.4503 0.5513 0.2027
O 0.5497 0.4487 0.7973
O 0.5513 0.2027 0.4503
O 0.6831 0.8919 0.0457
O 0.7973 0.5497 0.4487
O 0.8919 0.0457 0.6831
O 0.9543 0.3169 0.1081

Its formation energy from raw total energies is -1758 meV per atom. For the total energy, the calculation gives -5.37 eV per atom. As for the space group: R-3, No. 148.

# Co2Hg

A relaxed structure of Co2Hg (GGA-PBE, Alexandria).

Lattice parameters (Å, degrees): 4.1620 4.1620 2.8813 90.00 90.00 120.00
Sites, in units of the cell vectors:
Co 0.3333 0.6667 0.0000
Co 0.6667 0.3333 0.0000
Hg 0.0000 0.0000 0.5000

For the total energy, the calculation gives -4.38 eV per atom. As for the space group: P6/mmm, No. 191.

# BePdW

A relaxed structure of BePdW (GGA-PBE, Alexandria).

Lattice parameters (Å, degrees): 3.6041 3.6041 6.4202 90.00 90.00 90.00
Sites, in units of the cell vectors:
Be 0.2500 0.2500 0.2025
Be 0.7500 0.7500 0.7975
Pd 0.2500 0.2500 0.8518
Pd 0.7500 0.7500 0.1482
W 0.2500 0.7500 0.5000
W 0.7500 0.2500 0.5000

For the total energy, the calculation gives -7.28 eV per atom. As for the space group: P4/nmm, No. 129. The excess energy over the best structure of this formula in the dataset is 208 meV/atom.

# Nb2V2Mo3

A relaxed structure of Nb2V2Mo3 (GGA-PBE, Alexandria).

Lattice parameters (Å, degrees): 5.4489 5.4489 7.8529 114.71 114.71 32.89
Sites, in units of the cell vectors:
Nb 0.1421 0.1421 0.3327
Nb 0.8579 0.8579 0.6673
V 0.1758 0.1758 0.7449
V 0.8242 0.8242 0.2551
Mo 0.3989 0.3989 0.0477
Mo 0.5000 0.5000 0.5000
Mo 0.6011 0.6011 0.9523

For the total energy, the calculation gives -9.94 eV per atom. As for the space group: C2/m, No. 12. The excess energy over the best structure of this formula in the dataset is 259 meV/atom.

# NaLaSnPt

A relaxed structure of NaLaSnPt (GGA-PBE, Alexandria).

Lattice parameters (Å, degrees): 5.0265 5.0265 5.0265 60.00 60.00 60.00
Sites, in units of the cell vectors:
Na 0.0000 0.0000 0.0000
La 0.7500 0.7500 0.7500
Sn 0.2500 0.2500 0.2500
Pt 0.5000 0.5000 0.5000

For the total energy, the calculation gives -4.76 eV per atom. As for the space group: F-43m, No. 216.

# Sr2CrRu

A relaxed structure of Sr2CrRu (GGA-PBE, Alexandria).

Lattice parameters (Å, degrees): 3.4709 3.4709 9.1601 90.00 90.00 94.41
Sites, in units of the cell vectors:
Sr 0.0000 0.0000 0.0000
Sr 0.5000 0.5000 0.4019
Cr 0.0000 0.0000 0.6623
Ru 0.5000 0.5000 0.7444

For the total energy, the calculation gives -5.11 eV per atom. As for the space group: Cmm2, No. 35. The excess energy over the best structure of this formula in the dataset is 210 meV/atom.

# SrScCS2

A relaxed structure of SrScCS2 (GGA-PBE, Alexandria).

Lattice parameters (Å, degrees): 4.6797 4.6797 8.5125 90.00 90.00 90.00
Sites, in units of the cell vectors:
Sr 0.0000 0.0000 0.0000
Sc 0.0000 0.0000 0.5000
C 0.5000 0.5000 0.0000
S 0.0000 0.5000 0.5000
S 0.5000 0.0000 0.5000

Its formation energy from raw total energies is 528 meV per atom. For the total energy, the calculation gives -4.57 eV per atom. As for the space group: P4/mmm, No. 123.

# Zr2Zn2Pd

A relaxed structure of Zr2Zn2Pd (GGA-PBE, Alexandria).

Lattice parameters (Å, degrees): 5.4579 5.4579 8.3782 105.80 105.80 48.86
Sites, in units of the cell vectors:
Zr 0.0391 0.0391 0.3481
Zr 0.1711 0.1711 0.0820
Zr 0.8289 0.8289 0.9180
Zr 0.9609 0.9609 0.6519
Zn 0.3660 0.3660 0.4174
Zn 0.4704 0.4704 0.1328
Zn 0.5296 0.5296 0.8672
Zn 0.6340 0.6340 0.5826
Pd 0.2646 0.2646 0.6850
Pd 0.7354 0.7354 0.3150

For the total energy, the calculation gives -5.33 eV per atom. As for the space group: C2/m, No. 12. The excess energy over the best structure of this formula in the dataset is 23 meV/atom.